[1]
# PBE MnSi2Br, optimized geometry
data_MnSi2Br
_chemical_formula_sum 'Mn4 Si8 Br4'
_cell_length_a 5.788
_cell_length_b 5.788
_cell_length_c 11.455
_cell_angle_alpha 90.00
_cell_angle_beta 90.00
_cell_angle_gamma 90.00
_symmetry_space_group_name_H-M 'I -4 2 d'
_symmetry_Int_Tables_number 122
_symmetry_space_group_name_Hall 'I -4 2bw'
loop_
_atom_site_label
_atom_site_fract_x
_atom_site_fract_y
_atom_site_fract_z
_atom_site_occupancy
Mn1 0.000 0.000 0.000 1
Si1 0.164 0.250 0.125 1
Br1 0.000 0.000 0.500 1
# * ΔE to the lowest computed polymorph: 58.55 kJ/mol of atoms
# * energy relative to the elements, uncorrected: 2.6 eV per formula unit

=====

[2]
# PBE CoRuCl3, optimized geometry
data_CoRuCl3
_chemical_formula_sum 'Co6 Ru6 Cl18'
_cell_length_a 6.1739
_cell_length_b 6.1739
_cell_length_c 17.0882
_cell_angle_alpha 90.00
_cell_angle_beta 90.00
_cell_angle_gamma 120.00
_symmetry_space_group_name_H-M 'R -3 c'
_symmetry_Int_Tables_number 167
_symmetry_space_group_name_Hall '-R 3 2"c'
loop_
_atom_site_label
_atom_site_fract_x
_atom_site_fract_y
_atom_site_fract_z
_atom_site_occupancy
Co1 0.0000 0.0000 0.2500 1
Ru1 0.0000 0.0000 0.0000 1
Cl1 0.0000 0.3542 0.2500 1
# * ΔE to the lowest computed polymorph: 21.00 kJ/mol of atoms
# * energy relative to the elements, uncorrected: -0.2 eV per formula unit

=====

[3]
# PBE KTl2Au, optimized geometry
data_KTl2Au
_chemical_formula_sum 'K4 Tl8 Au4'
_cell_length_a 4.702
_cell_length_b 4.702
_cell_length_c 23.228
_cell_angle_alpha 90.00
_cell_angle_beta 90.00
_cell_angle_gamma 90.00
_symmetry_space_group_name_H-M 'I -4 2 d'
_symmetry_Int_Tables_number 122
_symmetry_space_group_name_Hall 'I -4 2bw'
loop_
_atom_site_label
_atom_site_fract_x
_atom_site_fract_y
_atom_site_fract_z
_atom_site_occupancy
K1 0.000 0.000 0.000 1
Tl1 0.224 0.250 0.625 1
Au1 0.000 0.000 0.500 1
# * E_form: -0.010 eV/atom

=====

[4]
# PBE NpU2Tc, optimized geometry
data_NpU2Tc
_chemical_formula_sum 'Np3 U6 Tc3'
_cell_length_a 4.4197
_cell_length_b 4.4197
_cell_length_c 13.0972
_cell_angle_alpha 90.00
_cell_angle_beta 90.00
_cell_angle_gamma 120.00
_symmetry_space_group_name_H-M 'R -3 m'
_symmetry_Int_Tables_number 166
_symmetry_space_group_name_Hall '-R 3 2"'
loop_
_atom_site_label
_atom_site_fract_x
_atom_site_fract_y
_atom_site_fract_z
_atom_site_occupancy
Np1 0.0000 0.0000 0.0000 1
U1 0.0000 0.0000 0.2633 1
Tc1 0.0000 0.0000 0.5000 1
# * ΔE to the lowest computed polymorph: 0.00 kJ/mol of atoms
# * E_form: -0.019 eV/atom

=====

[5]
# PBE HoThTlC, optimized geometry
data_HoThTlC
_chemical_formula_sum 'Ho3 Th3 Tl3 C3'
_cell_length_a 3.6364
_cell_length_b 3.6364
_cell_length_c 25.0641
_cell_angle_alpha 90.00
_cell_angle_beta 90.00
_cell_angle_gamma 120.00
_symmetry_space_group_name_H-M 'R 3 m'
_symmetry_Int_Tables_number 160
_symmetry_space_group_name_Hall 'R 3 -2"'
loop_
_atom_site_label
_atom_site_fract_x
_atom_site_fract_y
_atom_site_fract_z
_atom_site_occupancy
Ho1 0.0000 0.0000 0.0000 1
Th1 0.0000 0.0000 0.7772 1
Tl1 0.0000 0.0000 0.2268 1
C1 0.0000 0.0000 0.3873 1
# * E_form: -0.339 eV/atom

=====

[6]
# PBE ZrAsBr2, optimized geometry
data_ZrAsBr2
_chemical_formula_sum 'Zr2 As2 Br4'
_cell_length_a 4.479
_cell_length_b 4.479
_cell_length_c 8.754
_cell_angle_alpha 90.00
_cell_angle_beta 90.00
_cell_angle_gamma 90.00
_symmetry_space_group_name_H-M 'I 4/m m m'
_symmetry_Int_Tables_number 139
_symmetry_space_group_name_Hall '-I 4 2'
loop_
_atom_site_label
_atom_site_fract_x
_atom_site_fract_y
_atom_site_fract_z
_atom_site_occupancy
Zr1 0.000 0.000 0.000 1
As1 0.000 0.000 0.500 1
Br1 0.000 0.500 0.250 1
# * ΔE to the lowest computed polymorph: 73.86 kJ/mol of atoms
# * energy relative to the elements, uncorrected: -0.2 eV per formula unit

=====

Number 1: total DFT energy (no corrections) -76.36 eV/cell. Number 2: total DFT energy (no corrections) -132.44 eV/cell. Number 3: total DFT energy (no corrections) -36.58 eV/cell. Number 4: total DFT energy (no corrections) -137.87 eV/cell. Number 5: total DFT energy (no corrections) -74.83 eV/cell. Number 6: total DFT energy (no corrections) -33.58 eV/cell.